Material: KTm2Co
Method: DFT, PBE
State: optimized geometry

a b c (Å): 3.8715 3.8715 32.1841
angles (deg): 90.00 90.00 120.00
Space group R-3m (No. 166, hexagonal axes)
Asymmetric unit:
K 0.0000 0.0000 0.0000 (multiplicity 3)
Tm 0.0000 0.0000 0.1241 (multiplicity 6)
Co 0.0000 0.0000 0.5000 (multiplicity 3)

Volume (Å³ per cell): 417.8
Crystal system: trigonal
ΔE_f (meV/atom): 63
Density of states at the Fermi level (states/eV per cell): 10.23

Material: Ce3Cu2Ge3
Method: DFT, PBE
State: optimized geometry

a b c (Å): 4.282 10.777 14.469
angles (deg): 90.00 90.00 90.00
Space group Cmcm (No. 63)
Asymmetric unit:
Ce 0.000 0.081 0.110 (multiplicity 8)
Ce 0.000 0.367 0.250 (multiplicity 4)
Cu 0.000 0.218 0.595 (multiplicity 8)
Ge 0.000 0.340 0.750 (multiplicity 4)
Ge 0.000 0.379 0.042 (multiplicity 8)

Volume (Å³ per cell): 667.8
Crystal system: orthorhombic
ΔE_f (meV/atom): -588
Density of states at the Fermi level (states/eV per cell): 57.13

Material: Zr2Cu3Si2
Method: DFT, PBE
State: optimized geometry

a b c (Å): 3.625 17.520 3.568
angles (deg): 90.00 90.00 90.00
Space group Cmmm (No. 65)
Asymmetric unit:
Zr 0.000 0.162 0.000 (multiplicity 4)
Cu 0.000 0.000 0.000 (multiplicity 2)
Cu 0.000 0.432 0.500 (multiplicity 4)
Si 0.000 0.294 0.500 (multiplicity 4)

Volume (Å³ per cell): 226.6
Crystal system: orthorhombic
Density of states at the Fermi level (states/eV per cell): 7.24
Raw formation energy (eV per atom): -0.239

Total moment values, unit μB/cell, following the record order: 0.00, 8.51, 0.00.